Record 1
A relaxed YNb2Tc crystal, computed with PBE-GGA.

POSCAR file:
```
YNb2Tc
1.0
7.635 0.000 0.000
0.000 7.635 0.000
3.818 3.818 2.937
Y Nb Tc
2 4 2
direct
0.500 0.500 0.000
0.250 0.750 0.500
0.680 0.125 0.250
0.070 0.625 0.250
0.375 0.320 0.750
0.875 0.930 0.750
0.000 0.000 0.000
0.750 0.250 0.500
```

VASP energy = -8.8120 eV/atom
spin magnetization = 0.00 μB/cell
DFT formation energy = 0.430 eV per atom

Record 2
A relaxed La12Nd6Th crystal, computed with PBE-GGA.

POSCAR file:
```
La12Nd6Th
1.0
8.871 0.278 -1.603
-1.965 8.655 -1.603
0.215 0.278 9.012
La Nd Th
12 6 1
direct
0.584 0.167 0.584
0.167 0.584 0.584
0.584 0.584 0.167
0.416 0.833 0.416
0.833 0.416 0.416
0.416 0.416 0.833
0.261 0.000 0.739
0.261 0.739 0.000
0.000 0.261 0.739
0.739 0.000 0.261
0.739 0.261 0.000
0.000 0.739 0.261
0.141 0.142 0.404
0.858 0.596 0.859
0.596 0.859 0.858
0.859 0.858 0.596
0.142 0.404 0.141
0.404 0.141 0.142
0.000 0.000 0.000
```

VASP energy = -4.9016 eV/atom
spin magnetization = 0.00 μB/cell
DFT formation energy = 0.107 eV per atom

Record 3
A relaxed K5InCl8 crystal, computed with PBE-GGA.

POSCAR file:
```
K5InCl8
1.0
-5.042 -6.030 -4.215
1.551 -1.374 8.675
-4.488 7.693 -0.483
K In Cl
5 1 8
direct
0.848 0.351 0.933
0.649 0.582 0.497
0.418 0.915 0.067
0.500 0.500 0.000
0.085 0.152 0.503
0.250 0.750 0.500
0.161 0.833 0.270
0.167 0.437 0.328
0.662 0.849 0.325
0.151 0.475 0.812
0.663 0.338 0.188
0.109 0.839 0.672
0.563 0.891 0.730
0.525 0.337 0.675
```

VASP energy = -3.2980 eV/atom
spin magnetization = 0.44 μB/cell
energy relative to the elements, uncorrected = -1655 meV/atom

Record 4
A relaxed CePr2PN5 crystal, computed with PBE-GGA.

POSCAR file:
```
CePr2PN5
1.0
6.786 0.000 0.000
0.000 6.786 0.000
-3.393 -3.393 5.375
Ce Pr P N
2 4 2 10
direct
0.250 0.250 0.500
0.750 0.750 0.500
0.177 0.323 0.000
0.677 0.177 0.000
0.323 0.823 0.000
0.823 0.677 0.000
0.250 0.750 0.500
0.750 0.250 0.500
0.020 0.520 0.313
0.707 0.207 0.687
0.980 0.480 0.687
0.207 0.980 0.687
0.480 0.707 0.687
0.793 0.020 0.313
0.520 0.293 0.313
0.293 0.793 0.313
0.500 0.500 0.000
0.000 0.000 0.000
```

VASP energy = -8.1190 eV/atom
spin magnetization = 0.28 μB/cell
energy relative to the elements, uncorrected = -1171 meV/atom

Record 5
A relaxed Pr4CoRuCl2 crystal, computed with PBE-GGA.

POSCAR file:
```
Pr4CoRuCl2
1.0
4.028 0.000 0.000
0.000 6.961 0.110
0.000 -2.452 7.648
Pr Co Ru Cl
4 1 1 2
direct
0.500 0.239 0.207
0.500 0.761 0.793
0.000 0.268 0.797
0.000 0.732 0.203
0.500 0.500 0.000
0.000 0.000 0.000
0.500 0.000 0.500
0.000 0.500 0.500
```

VASP energy = -5.7358 eV/atom
spin magnetization = 0.00 μB/cell
energy relative to the elements, uncorrected = -837 meV/atom

Record 6
A relaxed CrCdBr2 crystal, computed with PBE-GGA.

POSCAR file:
```
CrCdBr2
1.0
3.896 -0.073 0.000
-2.098 3.285 0.000
0.000 0.000 9.476
Br Cd Cr
2 1 1
direct
0.000 0.000 0.924
0.500 0.500 0.311
0.000 0.000 0.515
0.500 0.500 0.749
```

VASP energy = -3.6580 eV/atom
spin magnetization = 4.00 μB/cell
energy relative to the elements, uncorrected = -187 meV/atom

Record 7
A relaxed Tm2Sc5C4 crystal, computed with PBE-GGA.

POSCAR file:
```
Tm2Sc5C4
1.0
3.194 0.001 -0.692
-0.354 9.126 -1.646
-0.187 -0.335 6.838
Tm Sc C
2 5 4
direct
0.451 0.284 0.900
0.549 0.716 0.100
0.703 0.208 0.404
0.297 0.792 0.596
0.850 0.528 0.700
0.500 0.000 0.000
0.150 0.472 0.300
0.289 0.362 0.578
0.059 0.199 0.118
0.711 0.638 0.422
0.941 0.801 0.882
```

VASP energy = -7.2317 eV/atom
spin magnetization = 0.00 μB/cell
DFT formation energy = -0.187 eV per atom

Record 8
A relaxed Co2NiW crystal, computed with PBE-GGA.

POSCAR file:
```
Co2NiW
1.0
4.095 0.000 0.000
2.048 3.547 0.000
2.048 1.182 3.344
Co Ni W
2 1 1
direct
0.000 0.000 0.000
0.750 0.750 0.750
0.500 0.500 0.500
0.250 0.250 0.250
```

VASP energy = -8.0488 eV/atom
spin magnetization = 2.20 μB/cell
DFT formation energy = 0.188 eV per atom

Record 9
A relaxed PrCd6Au2 crystal, computed with PBE-GGA.

POSCAR file:
```
PrCd6Au2
1.0
4.293 0.000 0.000
0.000 4.293 0.000
0.000 0.000 11.281
Pr Cd Au
1 6 2
direct
0.000 0.000 0.000
0.000 0.500 0.288
0.500 0.000 0.288
0.000 0.500 0.712
0.500 0.000 0.712
0.500 0.500 0.500
0.000 0.000 0.500
0.500 0.500 0.120
0.500 0.500 0.880
```

VASP energy = -2.1439 eV/atom
spin magnetization = 0.00 μB/cell
DFT formation energy = -0.274 eV per atom

Record 10
A relaxed Zr2Pt crystal, computed with PBE-GGA.

POSCAR file:
```
Zr2Pt
1.0
3.644 -6.312 0.000
3.644 6.312 0.000
0.000 0.000 4.097
Zr Pt
6 3
direct
0.000 0.266 0.000
0.000 0.597 0.500
0.266 0.000 0.000
0.734 0.734 0.000
0.597 0.000 0.500
0.403 0.403 0.500
0.000 0.000 0.500
0.333 0.667 0.000
0.667 0.333 0.000
```

VASP energy = -8.3760 eV/atom
spin magnetization = 0.00 μB/cell
DFT formation energy = -0.664 eV per atom